PmScInTc | PBE | relaxed

energy relative to the elements = -0.112 eV per atom
Fermi-level density of states = 2.99 states/eV per cell
magnetization = 0.00 μB per formula unit
symmetry = F-43m, No. 216
E = -6.158 eV/atom

abc: 5.0070 5.0070 5.0070
angles: 60.00 60.00 60.00
Closest atoms and distances in Å follow each position.
Fractional positions:
Pm 0.7500 0.7500 0.7500  4 Tc 3.07, 4 In 3.07
Tc 0.5000 0.5000 0.5000  4 Sc 3.07, 4 Pm 3.07
In 0.0000 0.0000 0.0000  4 Sc 3.07, 4 Pm 3.07
Sc 0.2500 0.2500 0.2500  4 In 3.07, 4 Tc 3.07